Here is a relaxed Dy7Hg2Pb2 crystal from Alexandria. Energies are from PBE-GGA.

Cell and atoms, written as CIF:
```
data_Dy7Hg2Pb2
_symmetry_space_group_name_H-M 'P 1'
_symmetry_Int_Tables_number 1
_symmetry_space_group_name_Hall 'P 1'
_cell_length_a 7.002
_cell_length_b 7.440
_cell_length_c 7.002
_cell_angle_alpha 90.00
_cell_angle_beta 107.30
_cell_angle_gamma 90.00
loop_
_atom_site_label
_atom_site_type_symbol
_atom_site_fract_x
_atom_site_fract_y
_atom_site_fract_z
Dy1 Dy 0.500 0.246 0.500
Dy2 Dy 0.000 0.724 0.500
Dy3 Dy 0.500 0.754 0.500
Dy4 Dy 0.000 0.000 0.000
Dy5 Dy 0.500 0.724 0.000
Dy6 Dy 0.000 0.276 0.500
Dy7 Dy 0.500 0.276 0.000
Hg1 Hg 0.715 0.000 0.285
Hg2 Hg 0.285 0.000 0.715
Pb1 Pb 0.185 0.500 0.185
Pb2 Pb 0.815 0.500 0.815
```

Results
Total moment, μB per formula unit: 0.00
Calculated total energy, eV/atom: -3.753
V, Å³/atom: 31.7



Here is a relaxed CePrDy2Hg4 crystal from Alexandria. Energies are from PBE-GGA.

Cell and atoms, written as CIF:
```
data_CePrDy2Hg4
_symmetry_space_group_name_H-M 'P 1'
_symmetry_Int_Tables_number 1
_symmetry_space_group_name_Hall 'P 1'
_cell_length_a 5.361
_cell_length_b 5.361
_cell_length_c 9.285
_cell_angle_alpha 73.22
_cell_angle_beta 73.22
_cell_angle_gamma 60.00
loop_
_atom_site_label
_atom_site_type_symbol
_atom_site_fract_x
_atom_site_fract_y
_atom_site_fract_z
Dy1 Dy 0.249 0.249 0.252
Dy2 Dy 0.751 0.751 0.748
Hg1 Hg 0.874 0.874 0.377
Hg2 Hg 0.624 0.624 0.127
Hg3 Hg 0.376 0.376 0.873
Hg4 Hg 0.126 0.126 0.623
Ce1 Ce 0.500 0.500 0.500
Pr1 Pr 0.000 0.000 0.000
```

Results
Total moment, μB per formula unit: 2.23
Calculated total energy, eV/atom: -3.058
V, Å³/atom: 27.2



The highest calculated total energy belongs to which entry? CePrDy2Hg4